## Cr3B7BrO13 (GGA+U)

Data for a relaxed Cr3B7BrO13 crystal.

a = 8.693 Å, b = 8.693 Å, c = 8.693 Å
α = 60.00°, β = 60.00°, γ = 60.00°
Atoms (fractional coordinates):
Cr: 0.500 0.500 0.000
Cr: 0.500 0.000 0.000
Cr: 0.000 0.000 0.500
Cr: 0.000 0.500 0.000
Cr: 0.500 0.000 0.500
Cr: 0.000 0.500 0.500
B: 0.920 0.920 0.920
B: 0.420 0.740 0.420
B: 0.920 0.920 0.240
B: 0.240 0.920 0.920
B: 0.420 0.420 0.420
B: 0.740 0.420 0.420
B: 0.420 0.420 0.740
B: 0.920 0.240 0.920
B: 0.250 0.250 0.750
B: 0.250 0.750 0.750
B: 0.750 0.250 0.250
B: 0.250 0.750 0.250
B: 0.750 0.250 0.750
B: 0.750 0.750 0.250
Br: 0.750 0.750 0.750
Br: 0.250 0.250 0.250
O: 0.296 0.745 0.895
O: 0.895 0.064 0.296
O: 0.796 0.245 0.564
O: 0.245 0.395 0.564
O: 0.245 0.564 0.796
O: 0.245 0.796 0.395
O: 0.395 0.796 0.564
O: 0.564 0.796 0.245
O: 0.000 0.000 0.000
O: 0.500 0.500 0.500
O: 0.745 0.296 0.064
O: 0.395 0.245 0.796
O: 0.796 0.564 0.395
O: 0.395 0.564 0.245
O: 0.564 0.395 0.796
O: 0.564 0.245 0.395
O: 0.796 0.395 0.245
O: 0.064 0.296 0.895
O: 0.895 0.296 0.745
O: 0.296 0.895 0.064
O: 0.895 0.745 0.064
O: 0.296 0.064 0.745
O: 0.064 0.745 0.296
O: 0.745 0.895 0.296
O: 0.745 0.064 0.895
O: 0.064 0.895 0.745

Values from the calculation:
Electronic total energy   -377.7 eV for the cell shown
V   9.7 Å³ per atom